Below is a relaxed LiPu3Tl2O12 crystal, with properties calculated at the PBE-GGA level.

Calculated values
The crystal system is trigonal. The calculation puts the density of states at the Fermi level at 7.81 states/eV per cell. The calculation puts the uncorrected formation energy at -2025 meV/atom.

abc: 7.3920 7.3920 7.3920
angles: 64.37 64.37 64.37
Closest atoms and distances in Å follow each position.
Atoms (fractional coordinates):
Li (0.0000, 0.0000, 0.0000)  6 O 2.11
Pu (0.0000, 0.0000, 0.5000)  2 O 1.83
Pu (0.0000, 0.5000, 0.0000)  2 O 1.83
Pu (0.5000, 0.0000, 0.0000)  2 O 1.83
Tl (0.3851, 0.3851, 0.3851)  6 O 3.18-3.46
Tl (0.6149, 0.6149, 0.6149)  6 O 3.18-3.46
O (0.0636, 0.0636, 0.6743)  1 Pu 1.83
O (0.0636, 0.6743, 0.0636)  1 Pu 1.83
O (0.0708, 0.6774, 0.6774)  2 Pu 2.12
O (0.3226, 0.3226, 0.9292)  2 Pu 2.12
O (0.3226, 0.9292, 0.3226)  2 Pu 2.12
O (0.3257, 0.9364, 0.9364)  1 Pu 1.83
O (0.6743, 0.0636, 0.0636)  1 Pu 1.83
O (0.6774, 0.0708, 0.6774)  2 Pu 2.12
O (0.6774, 0.6774, 0.0708)  2 Pu 2.12
O (0.9292, 0.3226, 0.3226)  2 Pu 2.12
O (0.9364, 0.3257, 0.9364)  1 Pu 1.83
O (0.9364, 0.9364, 0.3257)  1 Pu 1.83

Below is a relaxed Nd2Ge3Ir3 crystal, with properties calculated at the PBE-GGA level.

Calculated values
The crystal system is tetragonal. The calculation puts the density of states at the Fermi level at 7.52 states/eV per cell. For the energy of formation, the calculation gives 692 meV/atom.

abc: 2.8893 2.8893 20.9112
angles: 90.00 90.00 90.00
Closest atoms and distances in Å follow each position.
Atoms (fractional coordinates):
Nd (0.0000, 0.0000, 0.2412)  1 Ir 2.67, 4 Nd 2.89
Nd (0.0000, 0.0000, 0.7588)  1 Ir 2.67, 4 Nd 2.89
Ge (0.0000, 0.0000, 0.0000)  2 Ir 2.38
Ge (0.0000, 0.0000, 0.3858)  1 Ir 2.39
Ge (0.0000, 0.0000, 0.6142)  1 Ir 2.39
Ir (0.0000, 0.0000, 0.1137)  1 Ge 2.38
Ir (0.0000, 0.0000, 0.5000)  2 Ge 2.39
Ir (0.0000, 0.0000, 0.8863)  1 Ge 2.38

Below is a relaxed LuMgO2 crystal, with properties calculated at the PBE-GGA level.

Calculated values
The crystal system is trigonal. The calculation puts the density of states at the Fermi level at 4.25 states/eV per cell. The calculation puts the uncorrected formation energy at -2606 meV/atom.

abc: 3.1115 3.1115 16.3502
angles: 90.00 90.00 120.00
Closest atoms and distances in Å follow each position.
Atoms (fractional coordinates):
Lu (0.0000, 0.0000, 0.0000)  6 O 2.36
Lu (0.3333, 0.6667, 0.6667)  6 O 2.36
Lu (0.6667, 0.3333, 0.3333)  6 O 2.36
Mg (0.0000, 0.0000, 0.5000)  6 O 2.16
Mg (0.3333, 0.6667, 0.1667)  6 O 2.16
Mg (0.6667, 0.3333, 0.8333)  6 O 2.16
O (0.0000, 0.0000, 0.2396)  3 Mg 2.16, 3 Lu 2.36
O (0.0000, 0.0000, 0.7604)  3 Mg 2.16, 3 Lu 2.36
O (0.3333, 0.6667, 0.4271)  3 Mg 2.16, 3 Lu 2.36
O (0.3333, 0.6667, 0.9062)  3 Mg 2.16, 3 Lu 2.36
O (0.6667, 0.3333, 0.0938)  3 Mg 2.16, 3 Lu 2.36
O (0.6667, 0.3333, 0.5729)  3 Mg 2.16, 3 Lu 2.36

Below is a relaxed NdHoPu4 crystal, with properties calculated at the PBE-GGA level.

Calculated values
The crystal system is cubic. The calculation puts the density of states at the Fermi level at 27.96 states/eV per cell. For the energy of formation, the calculation gives 239 meV/atom.

abc: 6.1952 6.1952 6.1952
angles: 60.00 60.00 60.00
Closest atoms and distances in Å follow each position.
Atoms (fractional coordinates):
Nd (0.0000, 0.0000, 0.0000)  12 Pu 3.63, 4 Ho 3.79
Ho (0.7500, 0.7500, 0.7500)  12 Pu 3.63, 4 Nd 3.79
Pu (0.3751, 0.3751, 0.3751)  6 Pu 3.09-3.10
Pu (0.3751, 0.3751, 0.8746)  6 Pu 3.09-3.10
Pu (0.3751, 0.8746, 0.3751)  6 Pu 3.09-3.10
Pu (0.8746, 0.3751, 0.3751)  6 Pu 3.09-3.10